[1]
A plane-wave DFT calculation with PBE-GGA was carried out for a relaxed Ba5Sr12Ac crystal.

Results
D(E_F) (states/eV per atom): 1.27
V (Å³/atom): 55.36
SG: Cmmm
Total energy (eV per atom): -1.859

Structure (POSCAR):
```
Ba5Sr12Ac
1.0
-11.372 -9.070 0.325
-0.913 -10.750 -6.278
2.765 -3.280 5.214
Sr Ba Ac
12 5 1
Direct
0.494 0.668 0.500 Sr
0.332 0.669 0.000 Sr
0.838 0.000 0.500 Sr
0.838 0.668 0.500 Sr
0.000 0.331 0.000 Sr
0.679 0.000 0.000 Sr
0.162 0.332 0.500 Sr
0.162 0.000 0.500 Sr
0.000 0.669 0.000 Sr
0.321 0.000 0.000 Sr
0.506 0.332 0.500 Sr
0.668 0.331 0.000 Sr
0.500 0.000 0.500 Ba
0.165 0.669 0.500 Ba
0.664 0.672 0.000 Ba
0.835 0.331 0.500 Ba
0.336 0.328 0.000 Ba
0.000 0.000 0.000 Ac
```


[2]
A plane-wave DFT calculation with PBE-GGA was carried out for a relaxed BaSr6Ac crystal.

Results
D(E_F) (states/eV per atom): 1.26
V (Å³/atom): 53.76
SG: C2/m
E above lowest polymorph (eV/f.u.): 0.701

Structure (POSCAR):
```
BaSr6Ac
1.0
7.384 -0.187 2.779
0.270 7.970 0.102
1.285 -0.093 7.785
Ac Ba Sr
1 1 6
Direct
0.000 0.500 0.000 Ac
0.000 0.000 0.000 Ba
0.989 0.254 0.502 Sr
0.510 0.746 0.502 Sr
0.011 0.746 0.498 Sr
0.490 0.254 0.498 Sr
0.507 0.746 0.000 Sr
0.493 0.254 0.000 Sr
```


[3]
A plane-wave DFT calculation with PBE-GGA was carried out for a relaxed BaSr4Ac crystal.

Results
D(E_F) (states/eV per atom): 1.46
V (Å³/atom): 53.72
SG: Cmmm
E above lowest polymorph (eV/f.u.): 0.000

Structure (POSCAR):
```
BaSr4Ac
1.0
4.221 -0.400 0.000
0.410 4.220 0.000
-0.002 -0.001 17.929
Sr Ac Ba
4 1 1
Direct
0.000 0.000 0.322 Sr
0.000 0.000 0.678 Sr
0.500 0.500 0.847 Sr
0.500 0.500 0.153 Sr
0.000 0.000 0.000 Ac
0.500 0.500 0.500 Ba
```


[4]
A plane-wave DFT calculation with PBE-GGA was carried out for a relaxed Ba14SrAc crystal.

Results
D(E_F) (states/eV per atom): 1.65
V (Å³/atom): 61.29
SG: Amm2
Total energy (eV per atom): -2.005

Structure (POSCAR):
```
Ba14SrAc
1.0
8.785 1.177 0.000
-1.180 8.785 0.000
0.000 0.000 12.483
Ba Ac Sr
14 1 1
Direct
0.875 0.625 0.000 Ba
0.128 0.378 0.242 Ba
0.622 0.378 0.242 Ba
0.875 0.125 0.500 Ba
0.128 0.378 0.758 Ba
0.375 0.124 0.500 Ba
0.128 0.872 0.242 Ba
0.375 0.625 0.500 Ba
0.128 0.872 0.758 Ba
0.622 0.378 0.758 Ba
0.622 0.872 0.242 Ba
0.375 0.125 0.000 Ba
0.876 0.625 0.500 Ba
0.622 0.872 0.758 Ba
0.375 0.625 0.000 Ac
0.875 0.125 0.000 Sr
```


[5]
A plane-wave DFT calculation with PBE-GGA was carried out for a relaxed Ba2Sr2Ac crystal.

Results
D(E_F) (states/eV per atom): 2.10
V (Å³/atom): 57.30
SG: I4/mmm
E above lowest polymorph (eV/f.u.): 0.000

Structure (POSCAR):
```
Ba2Sr2Ac
1.0
-0.846 3.543 6.171
-7.114 -0.280 -0.815
3.854 -6.477 0.087
Ba Sr Ac
2 2 1
Direct
0.750 0.250 0.500 Ba
0.250 0.750 0.500 Ba
0.347 0.347 0.694 Sr
0.653 0.653 0.306 Sr
0.000 0.000 0.000 Ac
```


[6]
A plane-wave DFT calculation with PBE-GGA was carried out for a relaxed Ba12Sr5Ac2 crystal.

Results
D(E_F) (states/eV per atom): 1.40
V (Å³/atom): 58.46
SG: C2/m
Total energy (eV per atom): -1.962

Structure (POSCAR):
```
Ba12Sr5Ac2
1.0
-9.642 2.943 -1.230
1.463 -0.844 -10.015
-1.427 -10.738 2.826
Sr Ba Ac
5 12 2
Direct
0.689 0.689 0.519 Sr
0.000 0.000 0.500 Sr
0.768 0.768 0.147 Sr
0.311 0.311 0.481 Sr
0.232 0.232 0.853 Sr
0.474 0.931 0.808 Ba
0.148 0.658 0.611 Ba
0.658 0.148 0.611 Ba
0.526 0.069 0.192 Ba
0.069 0.526 0.192 Ba
0.907 0.907 0.838 Ba
0.342 0.852 0.389 Ba
0.528 0.528 0.815 Ba
0.852 0.342 0.389 Ba
0.093 0.093 0.162 Ba
0.472 0.472 0.185 Ba
0.931 0.474 0.808 Ba
0.742 0.258 0.000 Ac
0.258 0.742 0.000 Ac
```


[7]
A plane-wave DFT calculation with PBE-GGA was carried out for a relaxed Ba3SrAc crystal.

Results
D(E_F) (states/eV per atom): 2.46
V (Å³/atom): 65.84
SG: Pm-3m
E above lowest polymorph (eV/f.u.): 2.320

Structure (POSCAR):
```
Ba3SrAc
1.0
-5.522 4.118 0.475
-3.864 -5.400 1.895
1.502 1.250 6.623
Ba Sr Ac
3 1 1
Direct
0.500 0.000 0.000 Ba
0.000 0.000 0.500 Ba
0.000 0.500 0.000 Ba
0.500 0.500 0.500 Sr
0.000 0.000 0.000 Ac
```


[8]
A plane-wave DFT calculation with PBE-GGA was carried out for a relaxed Ba2SrAc crystal.

Results
D(E_F) (states/eV per atom): 1.89
V (Å³/atom): 55.58
SG: R-3m
E above lowest polymorph (eV/f.u.): 0.632

Structure (POSCAR):
```
Ba2SrAc
1.0
4.131 0.000 0.000
2.066 3.578 0.000
2.066 1.193 15.043
Ba Ac Sr
2 1 1
Direct
0.913 0.913 0.260 Ba
0.087 0.087 0.740 Ba
0.000 0.000 0.000 Ac
0.500 0.500 0.500 Sr
```


[9]
A plane-wave DFT calculation with PBE-GGA was carried out for a relaxed Ba2Sr2Ac crystal.

Results
D(E_F) (states/eV per atom): 2.13
V (Å³/atom): 67.64
SG: I4/mmm
E above lowest polymorph (eV/f.u.): 1.557

Structure (POSCAR):
```
Ba2Sr2Ac
1.0
4.666 0.000 -0.765
-0.125 4.664 -0.765
0.144 0.148 15.491
Sr Ba Ac
2 2 1
Direct
0.868 0.868 0.736 Sr
0.132 0.132 0.264 Sr
0.750 0.250 0.500 Ba
0.250 0.750 0.500 Ba
0.000 0.000 0.000 Ac
```


[10]
A plane-wave DFT calculation with PBE-GGA was carried out for a relaxed Ba2Sr9Ac crystal.

Results
D(E_F) (states/eV per atom): 1.02
V (Å³/atom): 53.76
SG: P4/mmm
Total energy (eV per atom): -1.898

Structure (POSCAR):
```
Ba2Sr9Ac
1.0
-5.614 2.217 2.859
-3.615 -3.660 -4.259
0.332 -11.102 9.261
Ac Sr Ba
1 9 2
Direct
0.000 0.000 0.000 Ac
0.500 0.000 0.843 Sr
0.500 0.500 0.329 Sr
0.500 0.500 0.671 Sr
0.000 0.500 0.157 Sr
0.000 0.500 0.843 Sr
0.500 0.500 0.000 Sr
0.500 0.000 0.500 Sr
0.500 0.000 0.157 Sr
0.000 0.500 0.500 Sr
0.000 0.000 0.675 Ba
0.000 0.000 0.325 Ba
```


[11]
A plane-wave DFT calculation with PBE-GGA was carried out for a relaxed Ba4Sr3Ac2 crystal.

Results
D(E_F) (states/eV per atom): 1.55
V (Å³/atom): 54.80
SG: P3m1
Total energy (eV per atom): -2.239

Structure (POSCAR):
```
Ba4Sr3Ac2
1.0
-0.391 -1.209 4.013
-1.711 -2.314 -3.072
27.230 -16.903 -2.436
Sr Ac Ba
3 2 4
Direct
0.667 0.333 0.659 Sr
0.000 0.000 0.981 Sr
0.000 0.000 0.318 Sr
0.667 0.333 0.084 Ac
0.667 0.333 0.878 Ac
0.667 0.333 0.431 Ba
0.000 0.000 0.773 Ba
0.667 0.333 0.206 Ba
0.000 0.000 0.547 Ba
```


[12]
A plane-wave DFT calculation with PBE-GGA was carried out for a relaxed Ba3SrAc crystal.

Results
D(E_F) (states/eV per atom): 1.06
V (Å³/atom): 56.11
SG: C2/m
E above lowest polymorph (eV/f.u.): 0.000

Structure (POSCAR):
```
Ba3SrAc
1.0
6.777 0.228 -0.256
3.152 5.898 -1.172
0.596 -1.320 14.515
Sr Ba Ac
2 6 2
Direct
0.033 0.453 0.481 Sr
0.335 0.847 0.574 Sr
0.232 0.053 0.883 Ba
0.136 0.247 0.172 Ba
0.437 0.646 0.271 Ba
0.735 0.048 0.374 Ba
0.932 0.654 0.784 Ba
0.633 0.252 0.680 Ba
0.836 0.845 0.070 Ac
0.532 0.454 0.984 Ac
```


Q: Among the records above, which one has the lowest V?
A: BaSr4Ac